Record 1
Here is Fe2Pd6Au after structural relaxation from the Alexandria database. Energies are from PBE-GGA.

Unit cell a=3.951 b=6.106 c=6.261 alpha=84.16 beta=71.61 gamma=71.13
Element x y z (fractional)
Fe  0.331  0.500  0.839
Fe  0.669  0.500  0.161
Pd  0.669  0.820  0.841
Pd  0.331  0.180  0.159
Pd  0.011  0.820  0.159
Pd  0.334  0.832  0.500
Pd  0.989  0.180  0.841
Pd  0.666  0.168  0.500
Au  0.000  0.500  0.500

Calculated values
Excess energy over the best structure of this formula in the dataset = 3 meV/atom
DFT formation energy = -70.8 kJ/mol of formula units

=====

Record 2
Here is PPbC2 after structural relaxation from the Alexandria database. Energies are from PBE-GGA.

Unit cell a=5.241 b=5.241 c=5.482 alpha=61.45 beta=61.45 gamma=90.00
Element x y z (fractional)
Pb  0.000  0.000  0.000
Pb  0.750  0.250  0.500
P  0.500  0.500  0.000
P  0.250  0.750  0.500
C  0.504  0.125  0.250
C  0.246  0.625  0.250
C  0.375  0.496  0.750
C  0.875  0.754  0.750

Calculated values
Excess energy over the best structure of this formula in the dataset = 0 meV/atom
DFT formation energy = 367.5 kJ/mol of formula units

=====

Record 3
Here is BaZn3Rh after structural relaxation from the Alexandria database. Energies are from PBE-GGA.

Unit cell a=14.323 b=8.485 c=8.485 alpha=115.29 beta=138.65 gamma=41.35
Element x y z (fractional)
Zn  0.383  0.251  0.410
Zn  0.117  0.910  0.751
Zn  0.617  0.749  0.590
Zn  0.883  0.090  0.249
Zn  0.073  0.280  0.050
Zn  0.427  0.550  0.780
Zn  0.927  0.720  0.950
Zn  0.573  0.450  0.220
Zn  0.600  0.097  0.899
Zn  0.900  0.399  0.597
Zn  0.400  0.903  0.101
Zn  0.100  0.601  0.403
Rh  0.309  0.132  0.522
Rh  0.191  0.022  0.632
Rh  0.691  0.868  0.478
Rh  0.809  0.978  0.368
Ba  0.750  0.208  0.708
Ba  0.250  0.792  0.292
Ba  0.750  0.622  0.122
Ba  0.250  0.378  0.878

Calculated values
Excess energy over the best structure of this formula in the dataset = 197 meV/atom
DFT formation energy = -76.9 kJ/mol of formula units

=====

Record 4
Here is RbUReN4 after structural relaxation from the Alexandria database. Energies are from PBE-GGA.

Unit cell a=6.028 b=5.750 c=7.998 alpha=90.00 beta=107.51 gamma=90.00
Element x y z (fractional)
Rb  0.703  0.750  0.937
Rb  0.297  0.250  0.063
U  0.797  0.750  0.459
U  0.203  0.250  0.541
Re  0.256  0.750  0.355
Re  0.744  0.250  0.645
N  0.973  0.489  0.660
N  0.027  0.989  0.340
N  0.027  0.511  0.340
N  0.973  0.011  0.660
N  0.449  0.750  0.218
N  0.551  0.250  0.782
N  0.484  0.750  0.563
N  0.516  0.250  0.437

Calculated values
Formation energy from raw total energies = -3.51 eV/f.u.

=====

| no. | DOS at the Fermi energy (states/eV per cell) |
| --- | --- |
| 1 | 6.6 |
| 2 | 3.5 |
| 3 | 9.1 |
| 4 | 7.5 |